Density functional theory data (PBE) for crystalline RbTiBr3 at its relaxed geometry.

E_tot ... -4.069 eV/atom
Uncorrected formation energy ... -125 kJ per mole of atoms

Geometry as POSCAR:
```
RbTiBr3
1.0
3.7885 0.0000 0.0000
0.0000 9.3111 0.0000
0.0000 0.0000 16.3276
Br Rb Ti
12 4 4
direct
0.2500 0.6911 0.0024 Br
0.7500 0.2508 0.3080 Br
0.7500 0.8089 0.5024 Br
0.2500 0.7492 0.6920 Br
0.7500 0.9537 0.8885 Br
0.2500 0.1911 0.4976 Br
0.7500 0.3089 0.9976 Br
0.2500 0.2492 0.8080 Br
0.2500 0.5463 0.3885 Br
0.7500 0.7508 0.1920 Br
0.7500 0.4537 0.6115 Br
0.2500 0.0463 0.1115 Br
0.2500 0.9439 0.3314 Rb
0.2500 0.4439 0.1686 Rb
0.7500 0.0561 0.6686 Rb
0.7500 0.5561 0.8314 Rb
0.7500 0.3907 0.4582 Ti
0.7500 0.8907 0.0418 Ti
0.2500 0.1093 0.9582 Ti
0.2500 0.6093 0.5418 Ti
```

Density functional theory data (PBE) for crystalline Rb2Ti3Br10 at its relaxed geometry.

E_tot ... -4.117 eV/atom
Uncorrected formation energy ... -125 kJ per mole of atoms

Geometry as POSCAR:
```
Rb2Ti3Br10
1.0
7.2339 0.0000 -2.3543
-1.2410 9.6850 -3.8129
0.2575 0.1632 13.0815
Rb Br Ti
4 20 6
direct
0.6236 0.7405 0.2473 Rb
0.7311 0.3120 0.4622 Rb
0.2689 0.6880 0.5377 Rb
0.3764 0.2595 0.7527 Rb
0.1064 0.5361 0.7198 Br
0.9803 0.8038 0.9606 Br
0.2317 0.2793 0.4635 Br
0.0197 0.1962 0.0394 Br
0.1291 0.7526 0.2583 Br
0.7683 0.7207 0.5365 Br
0.6134 0.5361 0.7198 Br
0.5175 0.1765 0.0351 Br
0.0000 0.0000 0.5000 Br
0.5000 0.0000 0.5000 Br
0.8709 0.2474 0.7417 Br
0.1403 0.9630 0.7798 Br
0.3866 0.4639 0.2802 Br
0.8936 0.4639 0.2802 Br
0.8597 0.0370 0.2202 Br
0.3606 0.0370 0.2202 Br
0.6394 0.9630 0.7798 Br
0.4825 0.8235 0.9649 Br
0.7718 0.5000 0.0000 Br
0.2282 0.5000 0.0000 Br
0.2385 0.0000 0.0000 Ti
0.8221 0.9748 0.6442 Ti
0.1779 0.0252 0.3558 Ti
0.0779 0.4818 0.1558 Ti
0.9221 0.5182 0.8442 Ti
0.7615 0.0000 0.0000 Ti
```